TeAsSBr2 | the Alexandria database | PBE-GGA | optimized geometry; symmetry = P4/mmm; raw formation energy = 0.575 eV per atom; crystal system = tetragonal
1.0
5.731 0.000 0.000
0.000 5.731 0.000
0.000 0.000 5.000
Te As S Br
1 1 1 2
direct
0.000 0.000 0.000
0.500 0.500 0.500
0.000 0.000 0.500
0.000 0.500 0.000
0.500 0.000 0.000

***

TeAs2SBr | the Alexandria database | PBE-GGA | optimized geometry; symmetry = P4/mmm; raw formation energy = 0.635 eV per atom; crystal system = tetragonal
1.0
5.069 0.000 0.000
0.000 5.069 0.000
0.000 0.000 4.769
Te As S Br
1 2 1 1
direct
0.000 0.000 0.000
0.000 0.500 0.500
0.500 0.000 0.500
0.500 0.500 0.500
0.500 0.500 0.000

***

TlAs2SBr | the Alexandria database | PBE-GGA | optimized geometry; symmetry = P4/mmm; raw formation energy = 0.292 eV per atom; crystal system = tetragonal
1.0
4.735 0.000 0.000
0.000 4.735 0.000
0.000 0.000 7.797
Tl As S Br
1 2 1 1
direct
0.000 0.000 0.000
0.000 0.500 0.500
0.500 0.000 0.500
0.500 0.500 0.500
0.500 0.500 0.000

***

TlAsSBr2 | the Alexandria database | PBE-GGA | optimized geometry; symmetry = P4/mmm; raw formation energy = 0.791 eV per atom; crystal system = tetragonal
1.0
5.386 0.000 0.000
0.000 5.386 0.000
0.000 0.000 5.783
Tl As S Br
1 1 1 2
direct
0.000 0.000 0.000
0.000 0.000 0.500
0.500 0.500 0.500
0.000 0.500 0.000
0.500 0.000 0.000

***

TlAsSBr2 | the Alexandria database | PBE-GGA | optimized geometry; symmetry = P4/mmm; raw formation energy = 0.142 eV per atom; crystal system = tetragonal
1.0
5.658 0.000 0.000
0.000 5.658 0.000
0.000 0.000 4.743
Tl As S Br
1 1 1 2
direct
0.000 0.000 0.000
0.500 0.500 0.000
0.500 0.500 0.500
0.000 0.500 0.500
0.500 0.000 0.500

***

TlAs2SBr | the Alexandria database | PBE-GGA | optimized geometry; symmetry = P4/mmm; raw formation energy = 1.114 eV per atom; crystal system = tetragonal
1.0
5.468 0.000 0.000
0.000 5.468 0.000
0.000 0.000 5.436
Tl As S Br
1 2 1 1
direct
0.000 0.000 0.000
0.000 0.500 0.000
0.500 0.000 0.000
0.500 0.500 0.500
0.000 0.000 0.500

***

VAs2SBr | the Alexandria database | PBE-GGA | optimized geometry; symmetry = P4/mmm; raw formation energy = 0.415 eV per atom; crystal system = tetragonal
1.0
4.857 0.000 0.000
0.000 4.857 0.000
0.000 0.000 4.615
V As S Br
1 2 1 1
direct
0.000 0.000 0.000
0.000 0.500 0.000
0.500 0.000 0.000
0.500 0.500 0.500
0.000 0.000 0.500

***

VAs2SBr | the Alexandria database | PBE-GGA | optimized geometry; symmetry = P4/mmm; raw formation energy = 0.904 eV per atom; crystal system = tetragonal
1.0
4.769 0.000 0.000
0.000 4.769 0.000
0.000 0.000 5.145
V As S Br
1 2 1 1
direct
0.000 0.000 0.000
0.000 0.500 0.500
0.500 0.000 0.500
0.500 0.500 0.500
0.500 0.500 0.000

***

AsWSBr2 | the Alexandria database | PBE-GGA | optimized geometry; symmetry = P4/mmm; raw formation energy = 1.524 eV per atom; crystal system = tetragonal
1.0
4.942 0.000 0.000
0.000 4.942 0.000
0.000 0.000 5.081
As W S Br
1 1 1 2
direct
0.000 0.000 0.000
0.500 0.500 0.000
0.000 0.000 0.500
0.000 0.500 0.500
0.500 0.000 0.500

***

AsWSBr2 | the Alexandria database | PBE-GGA | optimized geometry; symmetry = P4/mmm; raw formation energy = 0.731 eV per atom; crystal system = tetragonal
1.0
4.894 0.000 0.000
0.000 4.894 0.000
0.000 0.000 5.095
As W S Br
1 1 1 2
direct
0.000 0.000 0.000
0.000 0.000 0.500
0.500 0.500 0.000
0.000 0.500 0.500
0.500 0.000 0.500

***

YAsSBr2 | the Alexandria database | PBE-GGA | optimized geometry; symmetry = P4/mmm; raw formation energy = -0.034 eV per atom; crystal system = tetragonal
1.0
5.066 0.000 0.000
0.000 5.066 0.000
0.000 0.000 5.012
Y As S Br
1 1 1 2
direct
0.000 0.000 0.000
0.500 0.500 0.000
0.500 0.500 0.500
0.000 0.500 0.500
0.500 0.000 0.500

***

YAsSBr2 | the Alexandria database | PBE-GGA | optimized geometry; symmetry = P4/mmm; raw formation energy = -0.207 eV per atom; crystal system = tetragonal
1.0
5.387 0.000 0.000
0.000 5.387 0.000
0.000 0.000 5.980
Y As S Br
1 1 1 2
direct
0.000 0.000 0.000
0.000 0.000 0.500
0.500 0.500 0.500
0.000 0.500 0.000
0.500 0.000 0.000

***

ZnAs2SBr | the Alexandria database | PBE-GGA | optimized geometry; symmetry = P4/mmm; raw formation energy = 0.776 eV per atom; crystal system = tetragonal
1.0
4.975 0.000 0.000
0.000 4.975 0.000
0.000 0.000 4.808
Zn As S Br
1 2 1 1
direct
0.000 0.000 0.000
0.000 0.500 0.000
0.500 0.000 0.000
0.500 0.500 0.500
0.000 0.000 0.500

***

ZnAsSBr2 | the Alexandria database | PBE-GGA | optimized geometry; symmetry = P4/mmm; raw formation energy = 0.536 eV per atom; crystal system = tetragonal
1.0
4.934 0.000 0.000
0.000 4.934 0.000
0.000 0.000 5.357
Zn As S Br
1 1 1 2
direct
0.000 0.000 0.000
0.000 0.000 0.500
0.500 0.500 0.500
0.000 0.500 0.000
0.500 0.000 0.000

***

ZnAs2SBr | the Alexandria database | PBE-GGA | optimized geometry; symmetry = P4/mmm; raw formation energy = 0.732 eV per atom; crystal system = tetragonal
1.0
4.876 0.000 0.000
0.000 4.876 0.000
0.000 0.000 5.288
Zn As S Br
1 2 1 1
direct
0.000 0.000 0.000
0.000 0.500 0.500
0.500 0.000 0.500
0.500 0.500 0.500
0.500 0.500 0.000

***

ZnAsS2Br | the Alexandria database | PBE-GGA | optimized geometry; symmetry = P4/mmm; raw formation energy = 1.065 eV per atom; crystal system = tetragonal
1.0
5.040 0.000 0.000
0.000 5.040 0.000
0.000 0.000 4.765
Zn As S Br
1 1 2 1
direct
0.000 0.000 0.000
0.500 0.500 0.000
0.000 0.500 0.500
0.500 0.000 0.500
0.000 0.000 0.500

***

ZnAsSBr2 | the Alexandria database | PBE-GGA | optimized geometry; symmetry = P4/mmm; raw formation energy = 0.539 eV per atom; crystal system = tetragonal
1.0
5.317 0.000 0.000
0.000 5.317 0.000
0.000 0.000 4.869
Zn As S Br
1 1 1 2
direct
0.000 0.000 0.000
0.500 0.500 0.000
0.500 0.500 0.500
0.000 0.500 0.500
0.500 0.000 0.500

***

ZrAsSBr2 | the Alexandria database | PBE-GGA | optimized geometry; symmetry = P4/mmm; raw formation energy = 0.000 eV per atom; crystal system = tetragonal
1.0
5.165 0.000 0.000
0.000 5.165 0.000
0.000 0.000 5.503
Zr As S Br
1 1 1 2
direct
0.000 0.000 0.000
0.000 0.000 0.500
0.500 0.500 0.500
0.000 0.500 0.000
0.500 0.000 0.000

***

ZrAsSBr2 | the Alexandria database | PBE-GGA | optimized geometry; symmetry = P4/mmm; raw formation energy = 0.571 eV per atom; crystal system = tetragonal
1.0
4.974 0.000 0.000
0.000 4.974 0.000
0.000 0.000 4.957
Zr As S Br
1 1 1 2
direct
0.000 0.000 0.000
0.500 0.500 0.000
0.500 0.500 0.500
0.000 0.500 0.500
0.500 0.000 0.500

***

SbAsBr | the Alexandria database | PBE-GGA | optimized geometry; symmetry = F-43m; raw formation energy = 0.203 eV per atom; crystal system = cubic
1.0
0.000 3.518 3.518
3.518 0.000 3.518
3.518 3.518 0.000
Sb As Br
1 1 1
direct
0.000 0.000 0.000
0.250 0.250 0.250
0.750 0.750 0.750